(1)
Density functional theory data (PBE-GGA) for a geometry-optimized BeFeSe2 structure.

Cell lengths 4.3553, 4.3553, 6.8808 Å; angles 90.00, 90.00, 135.34 degrees
Fractional positions:
Be (0.0000, 0.0000, 0.0000)
Fe (0.0000, 0.0000, 0.5000)
Se (0.5000, 0.5000, 0.2303)
Se (0.5000, 0.5000, 0.7697)

Computed properties:
Density of states at the Fermi level   3.011 states/eV per cell
Formation energy without anion corrections   0.171 eV per atom
Crystal system   orthorhombic

***

(2)
Density functional theory data (PBE-GGA) for a geometry-optimized BeFeSe2 structure.

Cell lengths 7.9959, 7.9936, 3.3959 Å; angles 77.78, 77.70, 24.52 degrees
Fractional positions:
Be (0.0000, 0.0000, 0.0000)
Fe (0.2500, 0.2500, 0.2500)
Se (0.5000, 0.5000, 0.5000)
Se (0.7500, 0.7500, 0.7500)

Computed properties:
Density of states at the Fermi level   3.739 states/eV per cell
Formation energy without anion corrections   0.219 eV per atom
Crystal system   orthorhombic

***

(3)
Density functional theory data (PBE-GGA) for a geometry-optimized BeFeSe4 structure.

Cell lengths 5.5979, 5.5979, 5.5979 Å; angles 60.00, 60.00, 60.00 degrees
Fractional positions:
Be (0.0000, 0.0000, 0.0000)
Fe (0.7500, 0.7500, 0.7500)
Se (0.3746, 0.3746, 0.3746)
Se (0.3746, 0.3746, 0.8763)
Se (0.3746, 0.8763, 0.3746)
Se (0.8763, 0.3746, 0.3746)

Computed properties:
Density of states at the Fermi level   6.634 states/eV per cell
Formation energy without anion corrections   1.116 eV per atom
Crystal system   cubic

***

(4)
Density functional theory data (PBE-GGA) for a geometry-optimized Be2FeSe structure.

Cell lengths 3.9758, 3.9758, 3.9758 Å; angles 60.00, 60.00, 60.00 degrees
Fractional positions:
Be (0.0000, 0.0000, 0.0000)
Be (0.2500, 0.2500, 0.2500)
Fe (0.5000, 0.5000, 0.5000)
Se (0.7500, 0.7500, 0.7500)

Computed properties:
Density of states at the Fermi level   3.986 states/eV per cell
Formation energy without anion corrections   0.473 eV per atom
Crystal system   cubic

***

- Which of these has the lowest density of states at the Fermi level?
  number 1